Record 1
This record from the Alexandria database describes a relaxed structure of In4P6O21. The functional is PBE.

Cell and atoms, written as CIF:
```
data_In4P6O21
_chemical_formula_sum 'In16 P24 O84'
_space_group_name_H-M_alt 'P 1 21/c 1'
_space_group_IT_number 14
_space_group_name_Hall '-P 2ybc'
_cell_length_a 13.655
_cell_length_b 9.911
_cell_length_c 13.469
_cell_angle_alpha 90.00
_cell_angle_beta 108.80
_cell_angle_gamma 90.00
loop_
_atom_site_label
_atom_site_type_symbol
_atom_site_fract_x
_atom_site_fract_y
_atom_site_fract_z
In1 In 0.020 0.220 0.018
In2 In 0.233 0.226 0.720
In3 In 0.267 0.743 0.778
In4 In 0.477 0.740 0.481
P1 P 0.067 0.519 0.703
P2 P 0.078 0.532 0.170
P3 P 0.239 0.642 0.517
P4 P 0.266 0.173 0.989
P5 P 0.425 0.031 0.326
P6 P 0.434 0.016 0.805
O1 O 0.010 0.051 0.277
O2 O 0.011 0.098 0.885
O3 O 0.043 0.609 0.069
O4 O 0.086 0.123 0.651
O5 O 0.106 0.106 0.157
O6 O 0.124 0.661 0.462
O7 O 0.153 0.602 0.777
O8 O 0.179 0.579 0.248
O9 O 0.193 0.243 0.043
O10 O 0.222 0.187 0.871
O11 O 0.268 0.016 0.021
O12 O 0.278 0.691 0.629
O13 O 0.304 0.709 0.453
O14 O 0.326 0.107 0.275
O15 O 0.347 0.082 0.719
O16 O 0.375 0.228 0.041
O17 O 0.396 0.607 0.865
O18 O 0.410 0.634 0.324
O19 O 0.466 0.511 0.732
O20 O 0.471 0.088 0.909
O21 O 0.490 0.603 0.091
```

***

Record 2
# InP3O9, relaxed, DFT PBE
# distance to the lowest polymorph of the same formula: 1.61 eV/f.u.
data_InP3O9
_chemical_formula_sum 'In2 P6 O18'
_space_group_name_H-M_alt 'P 1 21 1'
_space_group_IT_number 4
_space_group_name_Hall 'P 2yb'
_cell_length_a 7.742
_cell_length_b 4.983
_cell_length_c 10.063
_cell_angle_alpha 90.00
_cell_angle_beta 109.14
_cell_angle_gamma 90.00
loop_
_atom_site_label
_atom_site_type_symbol
_atom_site_fract_x
_atom_site_fract_y
_atom_site_fract_z
In1 In 0.164 0.000 0.295
P1 P 0.182 0.610 0.007
P2 P 0.191 0.248 0.620
P3 P 0.411 0.756 0.622
O1 O 0.008 0.713 0.897
O2 O 0.053 0.245 0.696
O3 O 0.118 0.236 0.461
O4 O 0.230 0.743 0.147
O5 O 0.302 0.413 0.974
O6 O 0.316 0.507 0.672
O7 O 0.329 0.004 0.684
O8 O 0.354 0.768 0.464
O9 O 0.389 0.245 0.296

***

Record 3
This record from the Alexandria database describes a relaxed structure of InPO3. The functional is PBE.

Cell and atoms, written as CIF:
```
data_InPO3
_chemical_formula_sum 'In1 P1 O3'
_space_group_name_H-M_alt 'P m -3 m'
_space_group_IT_number 221
_space_group_name_Hall '-P 4 2 3'
_cell_length_a 4.072
_cell_length_b 4.072
_cell_length_c 4.072
_cell_angle_alpha 90.00
_cell_angle_beta 90.00
_cell_angle_gamma 90.00
loop_
_atom_site_label
_atom_site_type_symbol
_atom_site_fract_x
_atom_site_fract_y
_atom_site_fract_z
In1 In 0.000 0.000 0.000
P1 P 0.500 0.500 0.500
O1 O 0.000 0.000 0.500
```

***

Number 1: E_form (uncorrected) -2.03 eV per atom, magnetization 0.00 μB/cell. Number 2: E_form (uncorrected) -1.94 eV per atom, magnetization 0.00 μB/cell. Number 3: E_form (uncorrected) 0.13 eV per atom, magnetization 0.00 μB/cell.